No. 1
TaNClF2 | PBE | relaxed

Geometry as POSCAR:
```
TaNClF2
1.0
4.243 0.000 0.000
0.000 4.243 0.000
0.000 0.000 3.877
N F Cl Ta
1 2 1 1
Direct
0.000 0.000 0.500
0.500 0.000 0.000
0.000 0.500 0.000
0.000 0.000 0.000
0.500 0.500 0.500
```

Summary:
ΔE_f (raw) ... 6.47 eV per formula unit
Space group ... P4/mmm
VASP energy ... -3.86 eV per atom

No. 2
LiAgSe2 | PBE | relaxed

Geometry as POSCAR:
```
LiAgSe2
1.0
-1.485 4.974 -2.731
-5.243 0.998 -2.434
2.460 -1.954 4.954
Ag Se Li
1 2 1
Direct
0.500 0.500 0.000
0.250 0.750 0.500
0.000 0.000 0.000
0.750 0.250 0.500
```

Summary:
ΔE_f (raw) ... -0.89 eV per formula unit
Space group ... I-4m2
VASP energy ... -3.16 eV per atom

No. 3
Hf2TaRe2 | PBE | relaxed

Geometry as POSCAR:
```
Hf2TaRe2
1.0
-1.000 -6.451 -1.496
3.090 -1.792 5.665
-3.801 0.101 2.105
Re Hf Ta
4 4 2
Direct
0.369 0.869 0.000
0.131 0.369 0.000
0.631 0.131 0.000
0.869 0.631 0.000
0.679 0.821 0.500
0.179 0.679 0.500
0.821 0.321 0.500
0.321 0.179 0.500
0.000 0.000 0.000
0.500 0.500 0.000
```

Summary:
Space group ... P4/mbm
VASP energy ... -11.33 eV per atom

No. 4
LiTcAg2Sn | PBE | relaxed

Geometry as POSCAR:
```
LiTcAg2Sn
1.0
4.359 0.000 0.000
0.000 4.359 0.000
0.000 0.000 4.803
Ag Tc Sn Li
2 1 1 1
Direct
0.000 0.500 0.000
0.500 0.000 0.000
0.500 0.500 0.500
0.000 0.000 0.500
0.000 0.000 0.000
```

Summary:
Space group ... P4/mmm
VASP energy ... -3.62 eV per atom

No. 5
DyVB2 | PBE | relaxed

Geometry as POSCAR:
```
DyVB2
1.0
3.572 0.000 0.000
1.786 3.093 0.000
1.786 1.031 4.908
B V Dy
2 1 1
Direct
0.285 0.285 0.144
0.715 0.715 0.856
0.000 0.000 0.000
0.500 0.500 0.500
```

Summary:
Space group ... R-3m
VASP energy ... -6.81 eV per atom

No. 6
SrMn2Br | PBE | relaxed

Geometry as POSCAR:
```
SrMn2Br
1.0
3.717 0.000 0.000
0.000 3.781 -0.025
0.000 1.974 7.809
Mn Sr Br
2 1 1
Direct
0.000 0.769 0.093
0.500 0.219 0.192
0.000 0.561 0.499
0.500 0.951 0.715
```

Summary:
ΔE_f (raw) ... 0.32 eV per formula unit
Space group ... Pm
VASP energy ... -5.34 eV per atom

No. 7
SmGaHgBi | PBE | relaxed

Geometry as POSCAR:
```
SmGaHgBi
1.0
5.312 0.000 0.000
2.656 4.601 0.000
2.656 1.534 4.338
Sm Bi Ga Hg
1 1 1 1
Direct
0.750 0.750 0.750
0.250 0.250 0.250
0.500 0.500 0.500
0.000 0.000 0.000
```

Summary:
Space group ... F-43m
VASP energy ... -3.25 eV per atom

- Look up the VASP energy of the sixth one.
  -5.34 eV per atom

- What is the VASP energy in the third record?
  -11.33 eV per atom

- The highest VASP energy belongs to which entry?
  LiAgSe2

- The highest VASP energy belongs to which entry?
  LiAgSe2